Record 1
A plane-wave DFT calculation with PBE-GGA was carried out for crystalline LaDy2Ho4Th at its relaxed geometry.

Calculated values
Electronic total energy = -4.94 eV per atom
Total magnetization = 0.00 Bohr magnetons per cell

Cell and atoms, written as extended XYZ:
```
8
Lattice="-1.420 -4.172 -2.531 -1.078 -2.293 4.385 -10.437 1.189 3.897" Properties=species:S:1:pos:R:3 pbc="T T T"
Th -5.758 -0.552 4.141
Ho -4.188 -3.485 2.992
Ho -4.355 -4.426 -0.464
Ho -8.747 -1.792 2.759
Ho -8.580 -0.850 6.215
Dy -10.437 1.189 3.897
La -1.249 -3.232 0.927
Dy -5.929 -1.492 0.683
```


Record 2
A plane-wave DFT calculation with PBE-GGA was carried out for crystalline Dy4Tm3Tl4 at its relaxed geometry.

Calculated values
Electronic total energy = -3.96 eV per atom
Total magnetization = 0.00 Bohr magnetons per cell

Cell and atoms, written as extended XYZ:
```
11
Lattice="-3.113 0.628 -1.748 3.050 -5.120 -7.273 -3.686 -5.446 8.367" Properties=species:S:1:pos:R:3 pbc="T T T"
Tl -0.484 -6.719 -1.552
Dy -1.952 -6.160 1.263
Tm 1.525 -2.560 -3.636
Tl 0.826 -3.686 -6.555
Tm -3.033 -8.457 -1.396
Tm -0.716 -1.481 0.742
Dy -0.665 -5.678 -4.615
Dy -1.797 -3.779 -1.917
Tl -3.264 -3.219 0.898
Dy -3.083 -4.260 3.961
Tl -0.889 -0.806 -2.465
```


Record 3
A plane-wave DFT calculation with PBE-GGA was carried out for crystalline Al2MoSe at its relaxed geometry.

Calculated values
Electronic total energy = -5.25 eV per atom
Total magnetization = 0.90 Bohr magnetons per cell
Formation energy from raw total energies = 202 meV per atom

Cell and atoms, written as extended XYZ:
```
4
Lattice="-4.166 0.624 -2.793 0.787 -0.995 -4.892 0.996 -2.501 4.277" Properties=species:S:1:pos:R:3 pbc="T T T"
Al 0.000 0.000 0.000
Al 0.046 -1.841 -2.229
Mo -1.689 -0.186 -3.843
Se -2.430 -1.031 -1.179
```


Record 4
A plane-wave DFT calculation with PBE-GGA was carried out for crystalline Pm12Sm5Ho at its relaxed geometry.

Calculated values
Electronic total energy = -4.62 eV per atom
Total magnetization = 0.00 Bohr magnetons per cell

Cell and atoms, written as extended XYZ:
```
18
Lattice="-3.467 -6.587 8.639 6.701 -5.613 5.936 0.562 4.691 3.797" Properties=species:S:1:pos:R:3 pbc="T T T"
Pm -1.808 0.006 9.443
Pm 1.066 -10.074 12.710
Pm 1.858 -6.721 13.290
Sm 2.154 -8.133 9.717
Sm 4.187 -2.499 7.299
Pm -0.296 1.431 3.595
Pm 2.730 2.565 5.662
Pm -0.043 -5.999 7.846
Ho 0.000 0.000 0.000
Sm -1.452 -0.948 6.218
Sm -0.391 -5.010 11.073
Pm -1.097 -1.902 2.993
Pm 1.938 -0.788 5.082
Pm 3.014 -4.854 9.940
Pm -2.609 -3.327 8.841
Pm 0.782 -2.655 8.432
Pm 3.839 -1.510 10.527
Sm 1.080 -4.067 4.859
```


Record 5
A plane-wave DFT calculation with PBE-GGA was carried out for crystalline Ca2Re2O7 at its relaxed geometry.

Calculated values
Electronic total energy = -7.87 eV per atom
Total magnetization = 0.00 Bohr magnetons per cell
Formation energy from raw total energies = -2085 meV per atom

Cell and atoms, written as extended XYZ:
```
11
Lattice="-1.245 -2.532 4.961 2.013 -4.776 -2.710 3.942 3.760 2.131" Properties=species:S:1:pos:R:3 pbc="T T T"
Re 4.117 -0.962 0.056
O 2.546 -2.506 3.404
O 4.563 -0.146 1.651
O 3.964 -2.800 0.146
O 0.146 -3.403 2.729
Ca 1.994 -3.373 1.284
Re 0.593 -2.586 4.324
O 0.000 0.000 0.000
O 2.163 -1.043 0.977
Ca 2.716 -0.176 3.097
O 0.746 -0.749 4.234
```


Record 6
A plane-wave DFT calculation with PBE-GGA was carried out for crystalline Ca2Sb2I at its relaxed geometry.

Calculated values
Electronic total energy = -3.61 eV per atom
Total magnetization = 0.00 Bohr magnetons per cell
Formation energy from raw total energies = -852 meV per atom

Cell and atoms, written as extended XYZ:
```
10
Lattice="8.551 0.000 0.000 0.000 8.551 0.000 0.000 0.000 4.454" Properties=species:S:1:pos:R:3 pbc="T T T"
Ca 5.753 1.478 0.000
Sb 3.284 0.991 2.227
I 4.276 4.276 0.000
Ca 1.478 2.798 0.000
Sb 5.267 7.560 2.227
Ca 2.798 7.073 0.000
Ca 7.073 5.753 0.000
Sb 7.560 3.284 2.227
Sb 0.991 5.267 2.227
I 0.000 0.000 0.000
```


Record 7
A plane-wave DFT calculation with PBE-GGA was carried out for crystalline LiGeN at its relaxed geometry.

Calculated values
Electronic total energy = -5.24 eV per atom
Total magnetization = 0.00 Bohr magnetons per cell
Formation energy from raw total energies = -291 meV per atom

Cell and atoms, written as extended XYZ:
```
12
Lattice="5.532 0.000 0.000 0.000 4.142 0.000 0.000 0.000 6.939" Properties=species:S:1:pos:R:3 pbc="T T T"
Li 3.195 1.035 6.328
N 0.681 3.106 4.547
Li 0.429 1.035 4.080
Ge 0.233 1.035 0.749
Ge 2.999 1.035 2.720
N 2.085 1.035 1.078
Ge 2.533 3.106 4.219
Li 2.337 3.106 0.611
N 4.851 1.035 2.392
N 3.447 3.106 5.861
Ge 5.299 3.106 6.189
Li 5.103 3.106 2.858
```


Record 8
A plane-wave DFT calculation with PBE-GGA was carried out for crystalline KBa3Bi2O6 at its relaxed geometry.

Calculated values
Electronic total energy = -5.46 eV per atom
Total magnetization = 0.00 Bohr magnetons per cell
Formation energy from raw total energies = -1757 meV per atom

Cell and atoms, written as extended XYZ:
```
12
Lattice="6.501 0.000 0.000 -3.250 5.630 0.000 0.000 0.000 7.110" Properties=species:S:1:pos:R:3 pbc="T T T"
Bi 3.250 1.877 6.313
O 1.489 4.613 2.027
Bi 0.000 3.753 0.798
Ba 0.000 0.000 0.000
O 1.761 1.017 5.084
O 4.740 1.017 5.084
O 0.000 2.034 2.027
O 3.250 3.596 5.084
Ba 3.250 1.877 2.877
O -1.489 4.613 2.027
K 0.000 0.000 3.555
Ba 0.000 3.753 4.233
```


Record 9
A plane-wave DFT calculation with PBE-GGA was carried out for crystalline RbBNO2 at its relaxed geometry.

Calculated values
Electronic total energy = -2.72 eV per atom
Total magnetization = 5.00 Bohr magnetons per cell
Formation energy from raw total energies = 2453 meV per atom

Cell and atoms, written as extended XYZ:
```
5
Lattice="-1.243 2.389 4.306 1.252 -4.142 2.659 5.098 1.833 0.455" Properties=species:S:1:pos:R:3 pbc="T T T"
B 2.554 0.040 3.710
N 2.549 0.917 0.227
O 0.626 -2.071 1.330
Rb 0.000 0.000 0.000
O -0.622 1.194 2.153
```


Record 10
A plane-wave DFT calculation with PBE-GGA was carried out for crystalline NiPd2Cl at its relaxed geometry.

Calculated values
Electronic total energy = -4.08 eV per atom
Total magnetization = 1.69 Bohr magnetons per cell
Formation energy from raw total energies = 421 meV per atom

Cell and atoms, written as extended XYZ:
```
4
Lattice="-3.063 -3.140 -0.559 -3.527 -0.148 2.664 -3.998 1.064 -1.562" Properties=species:S:1:pos:R:3 pbc="T T T"
Pd -2.647 -0.556 0.136
Pd -7.941 -1.668 0.407
Ni -5.294 -1.112 0.271
Cl 0.000 0.000 0.000
```


Record 11
A plane-wave DFT calculation with PBE-GGA was carried out for crystalline Pm2SmPd at its relaxed geometry.

Calculated values
Electronic total energy = -4.77 eV per atom
Total magnetization = 0.00 Bohr magnetons per cell

Cell and atoms, written as extended XYZ:
```
4
Lattice="-1.897 2.748 -1.032 -2.785 0.998 1.861 5.007 8.095 6.435" Properties=species:S:1:pos:R:3 pbc="T T T"
Pm -3.131 5.363 2.284
Pm 3.456 6.478 4.981
Pd 0.000 0.000 0.000
Sm 0.162 5.921 3.632
```


Record 12
A plane-wave DFT calculation with PBE-GGA was carried out for crystalline TaCrP2 at its relaxed geometry.

Calculated values
Electronic total energy = -7.91 eV per atom
Total magnetization = 0.00 Bohr magnetons per cell

Cell and atoms, written as extended XYZ:
```
4
Lattice="-4.249 -0.361 -0.289 -1.724 -2.990 -2.522 -1.981 -3.370 1.728" Properties=species:S:1:pos:R:3 pbc="T T T"
Ta -5.966 -5.040 -0.812
Cr -3.977 -3.360 -0.542
P 0.000 0.000 0.000
P -1.989 -1.680 -0.271
```


Record 13
A plane-wave DFT calculation with PBE-GGA was carried out for crystalline YMn6Ga6 at its relaxed geometry.

Calculated values
Electronic total energy = -6.34 eV per atom
Total magnetization = 3.85 Bohr magnetons per cell

Cell and atoms, written as extended XYZ:
```
13
Lattice="-2.625 4.056 -1.890 -4.969 -1.763 -4.001 -5.075 1.821 3.839" Properties=species:S:1:pos:R:3 pbc="T T T"
Mn -6.308 1.137 -3.039
Ga -7.501 1.429 -0.755
Y 0.000 0.000 0.000
Mn -2.485 -0.881 -2.001
Ga -2.735 1.262 -0.614
Ga -9.936 2.852 -1.439
Mn -6.362 2.977 0.986
Ga -5.005 -0.565 -1.380
Mn -2.538 0.911 1.919
Mn -3.850 2.939 0.974
Ga -5.040 0.623 1.218
Mn -3.797 1.147 -2.945
Ga -5.169 2.685 -1.298
```


Record 14
A plane-wave DFT calculation with PBE-GGA was carried out for crystalline Be2Ru at its relaxed geometry.

Calculated values
Electronic total energy = -5.77 eV per atom
Total magnetization = 0.00 Bohr magnetons per cell

Cell and atoms, written as extended XYZ:
```
6
Lattice="-1.519 1.519 6.434 1.519 -1.519 6.434 1.519 1.519 -6.434" Properties=species:S:1:pos:R:3 pbc="T T T"
Be 1.519 0.000 4.211
Ru 0.000 1.519 3.217
Be 0.000 0.000 7.428
Ru 0.000 0.000 0.000
Be 1.519 0.000 2.223
Be 0.000 0.000 5.440
```


Record 15
A plane-wave DFT calculation with PBE-GGA was carried out for crystalline ScAl3F at its relaxed geometry.

Calculated values
Electronic total energy = -3.18 eV per atom
Total magnetization = 2.54 Bohr magnetons per cell
Formation energy from raw total energies = 709 meV per atom

Cell and atoms, written as extended XYZ:
```
5
Lattice="5.489 0.000 0.000 0.000 5.489 0.000 0.000 0.000 5.489" Properties=species:S:1:pos:R:3 pbc="T T T"
F 2.744 2.744 2.744
Al 2.744 0.000 0.000
Al 0.000 2.744 0.000
Sc 0.000 0.000 0.000
Al 0.000 0.000 2.744
```


Record 16
A plane-wave DFT calculation with PBE-GGA was carried out for crystalline CsTlSnBr6 at its relaxed geometry.

Calculated values
Electronic total energy = -2.87 eV per atom
Total magnetization = 0.00 Bohr magnetons per cell
Formation energy from raw total energies = -956 meV per atom

Cell and atoms, written as extended XYZ:
```
9
Lattice="8.104 0.000 0.000 4.052 7.018 0.000 0.000 0.000 7.321" Properties=species:S:1:pos:R:3 pbc="T T T"
Br 5.183 4.184 2.112
Br 2.921 4.184 5.209
Br 5.084 0.438 2.112
Br 6.215 2.396 5.209
Tl 8.104 4.679 3.660
Br 3.020 0.438 5.209
Sn 4.052 2.339 3.660
Cs 8.104 0.000 7.321
Br 1.889 2.396 2.112
```


Record 17
A plane-wave DFT calculation with PBE-GGA was carried out for crystalline Ce2MgSe2N2 at its relaxed geometry.

Calculated values
Electronic total energy = -6.83 eV per atom
Total magnetization = 0.00 Bohr magnetons per cell
Formation energy from raw total energies = -1532 meV per atom

Cell and atoms, written as extended XYZ:
```
7
Lattice="3.868 0.000 0.000 1.934 5.770 -0.056 1.934 2.123 5.996" Properties=species:S:1:pos:R:3 pbc="T T T"
Se 3.868 5.309 1.931
Se 3.868 2.583 4.008
Ce 5.802 5.262 4.503
Mg 0.000 0.000 0.000
Ce 1.934 2.630 1.437
N 3.868 5.855 5.453
N 3.868 2.038 0.487
```


Record 18
A plane-wave DFT calculation with PBE-GGA was carried out for crystalline VIr3Cl at its relaxed geometry.

Calculated values
Electronic total energy = -5.93 eV per atom
Total magnetization = 0.01 Bohr magnetons per cell
Formation energy from raw total energies = 1581 meV per atom

Cell and atoms, written as extended XYZ:
```
5
Lattice="4.595 0.000 0.000 0.000 4.595 0.000 0.000 0.000 4.595" Properties=species:S:1:pos:R:3 pbc="T T T"
Ir 0.000 2.298 0.000
V 0.000 0.000 0.000
Ir 0.000 0.000 2.298
Cl 2.298 2.298 2.298
Ir 2.298 0.000 0.000
```


Record 19
A plane-wave DFT calculation with PBE-GGA was carried out for crystalline DyPaH3 at its relaxed geometry.

Calculated values
Electronic total energy = -4.93 eV per atom
Total magnetization = 0.00 Bohr magnetons per cell

Cell and atoms, written as extended XYZ:
```
5
Lattice="4.133 0.000 0.000 0.000 4.133 0.000 0.000 0.000 4.133" Properties=species:S:1:pos:R:3 pbc="T T T"
Pa 0.000 0.000 0.000
H 0.000 0.000 2.066
Dy 2.066 2.066 2.066
H 0.000 2.066 0.000
H 2.066 0.000 0.000
```


Record 20
A plane-wave DFT calculation with PBE-GGA was carried out for crystalline SnAs2H at its relaxed geometry.

Calculated values
Electronic total energy = -3.51 eV per atom
Total magnetization = 0.00 Bohr magnetons per cell

Cell and atoms, written as extended XYZ:
```
4
Lattice="0.000 3.317 3.317 3.317 0.000 3.317 3.317 3.317 0.000" Properties=species:S:1:pos:R:3 pbc="T T T"
H 0.000 0.000 0.000
As 4.975 4.975 4.975
As 1.658 1.658 1.658
Sn 3.317 3.317 3.317
```


Record 21
A plane-wave DFT calculation with PBE-GGA was carried out for crystalline LiDy4Zn5 at its relaxed geometry.

Calculated values
Electronic total energy = -2.95 eV per atom
Total magnetization = 0.00 Bohr magnetons per cell

Cell and atoms, written as extended XYZ:
```
10
Lattice="3.513 0.000 0.000 0.000 3.513 0.000 0.000 0.000 17.396" Properties=species:S:1:pos:R:3 pbc="T T T"
Zn 1.757 1.757 8.698
Zn 1.757 1.757 5.091
Zn 1.757 1.757 1.438
Li 0.000 0.000 0.000
Dy 0.000 0.000 6.889
Dy 0.000 0.000 10.507
Dy 0.000 0.000 14.100
Zn 1.757 1.757 15.958
Zn 1.757 1.757 12.305
Dy 0.000 0.000 3.296
```


Record 22
A plane-wave DFT calculation with PBE-GGA was carried out for crystalline LiPu4Sb3 at its relaxed geometry.

Calculated values
Electronic total energy = -9.52 eV per atom
Total magnetization = 49.17 Bohr magnetons per cell
Formation energy from raw total energies = -569 meV per atom

Cell and atoms, written as extended XYZ:
```
16
Lattice="-2.607 -2.748 -4.538 5.982 -1.286 -6.508 0.735 -8.836 1.079" Properties=species:S:1:pos:R:3 pbc="T T T"
Sb -0.106 -6.461 -3.726
Pu 4.177 -9.144 -4.562
Li 2.706 -5.748 -3.849
Sb 4.215 -6.409 -6.240
Sb 1.355 -10.021 -6.260
Li 1.403 -7.122 -6.118
Sb -1.955 -2.061 -3.403
Pu -0.067 -3.725 -5.405
Pu 0.311 -3.682 -1.799
Pu 2.688 -3.692 -7.008
Sb -0.652 -0.687 -1.134
Pu 3.798 -9.187 -8.168
Sb 2.754 -2.848 -3.707
Pu 1.082 -6.504 -0.533
Pu 3.027 -6.365 -9.434
Pu 1.422 -9.178 -2.959
```


Record 23
A plane-wave DFT calculation with PBE-GGA was carried out for crystalline PuHfTh2 at its relaxed geometry.

Calculated values
Electronic total energy = -9.65 eV per atom
Total magnetization = 5.49 Bohr magnetons per cell

Cell and atoms, written as extended XYZ:
```
4
Lattice="4.385 0.000 0.000 0.000 5.034 0.000 0.000 0.000 5.034" Properties=species:S:1:pos:R:3 pbc="T T T"
Th 0.000 0.000 2.517
Hf 2.192 2.517 2.517
Th 0.000 2.517 0.000
Pu 2.192 0.000 0.000
```


Record 24
A plane-wave DFT calculation with PBE-GGA was carried out for crystalline CdCuF2 at its relaxed geometry.

Calculated values
Electronic total energy = -3.40 eV per atom
Total magnetization = 0.00 Bohr magnetons per cell
Formation energy from raw total energies = -1211 meV per atom

Cell and atoms, written as extended XYZ:
```
4
Lattice="2.587 3.748 6.020 4.220 5.058 3.686 1.313 6.052 4.317" Properties=species:S:1:pos:R:3 pbc="T T T"
F 7.439 13.612 12.848
Cu 0.000 0.000 0.000
Cd 4.060 7.429 7.012
F 0.681 1.245 1.175
```


Record 25
A plane-wave DFT calculation with PBE-GGA was carried out for crystalline Ba2NaTc at its relaxed geometry.

Calculated values
Electronic total energy = -3.17 eV per atom
Total magnetization = 2.05 Bohr magnetons per cell

Cell and atoms, written as extended XYZ:
```
4
Lattice="0.000 4.134 4.134 4.134 0.000 4.134 4.134 4.134 0.000" Properties=species:S:1:pos:R:3 pbc="T T T"
Tc 4.134 4.134 4.134
Ba 6.201 6.201 6.201
Na 0.000 0.000 0.000
Ba 2.067 2.067 2.067
```